(w)
Entry from OQMD via LeMat-Bulk: a relaxed KCoSeO crystal (PBE+U).

M_tot (μB/f.u.): 3.54
Calculated volume (A^3/atom): 22.85

a = 3.691 Å, b = 7.879 Å, c = 6.286 Å
α = 90.00°, β = 90.00°, γ = 90.00°
Fractional positions:
Co 0.500 0.905 0.032
Co 0.500 0.095 0.532
K 0.000 0.294 0.109
K 0.000 0.706 0.609
O 0.500 0.070 0.238
O 0.500 0.930 0.738
Se 0.000 0.713 0.111
Se 0.000 0.287 0.611


(x)
Entry from OQMD via LeMat-Bulk: a relaxed KCoSeO crystal (PBE+U).

M_tot (μB/f.u.): 3.00
Calculated volume (A^3/atom): 24.43

a = 5.428 Å, b = 5.712 Å, c = 12.682 Å
α = 90.00°, β = 96.19°, γ = 90.00°
Fractional positions:
Co 0.996 0.888 0.008
Co 0.528 0.370 0.041
Co 0.472 0.870 0.959
Co 0.004 0.388 0.992
K 0.146 0.610 0.230
K 0.771 0.011 0.466
K 0.229 0.511 0.534
K 0.854 0.110 0.770
O 0.754 0.633 0.001
O 0.256 0.634 0.033
O 0.744 0.134 0.967
O 0.246 0.133 0.999
Se 0.649 0.237 0.232
Se 0.675 0.518 0.378
Se 0.325 0.018 0.622
Se 0.351 0.737 0.768


It is (x) that is most stable; the runner-up trails by 13 meV per atom.